No. 1
# Tm2Ag2Te5

A geometry-optimized Tm2Ag2Te5 structure (GGA-PBE, Alexandria via LeMat-Bulk).

Lattice parameters (Å, degrees): 4.841 8.345 8.863 122.63 90.00 106.86
Atoms (fractional coordinates):
Te: 0.156 0.312 0.530
Te: 0.374 0.749 0.074
Te: 0.626 0.251 0.926
Te: 0.000 0.000 0.000
Te: 0.844 0.688 0.470
Tm: 0.611 0.221 0.268
Tm: 0.389 0.779 0.732
Ag: 0.934 0.868 0.269
Ag: 0.066 0.132 0.731

Formation energy (no corrections) = -0.650 eV per atom
Total DFT energy (no corrections) = -4.0224 eV/atom

No. 2
# TcMoPbBr2

A geometry-optimized TcMoPbBr2 structure (GGA-PBE, Alexandria via LeMat-Bulk).

Lattice parameters (Å, degrees): 4.887 5.735 4.887 90.00 90.00 90.00
Atoms (fractional coordinates):
Br: 0.000 0.000 0.500
Br: 0.500 0.000 0.000
Pb: 0.000 0.500 0.000
Mo: 0.500 0.500 0.500
Tc: 0.000 0.000 0.000

Formation energy (no corrections) = 1.516 eV per atom
Total DFT energy (no corrections) = -4.1344 eV/atom